Entry 1:
First-principles (PBE-GGA) data for an optimized crystal structure of NdSmLu4, as listed in Alexandria via LeMat-Bulk.

E (eV per cell): -103.8
Energy relative to the elements (eV per atom): 0.272
Crystal system: cubic

CIF file:
```
data_NdSmLu4
_cell_length_a 9.347
_cell_length_b 9.347
_cell_length_c 9.347
_cell_angle_alpha 90.00
_cell_angle_beta 90.00
_cell_angle_gamma 90.00
_symmetry_space_group_name_H-M 'F -4 3 m'
_symmetry_Int_Tables_number 216
_symmetry_space_group_name_Hall 'F -4 2 3'
loop_
_atom_site_label
_atom_site_fract_x
_atom_site_fract_y
_atom_site_fract_z
Nd1 0.000 0.000 0.000
Sm1 0.250 0.250 0.750
Lu1 0.125 0.125 0.375
```

=====

Entry 2:
First-principles (PBE-GGA) data for an optimized crystal structure of YMg2ScPd4, as listed in Alexandria via LeMat-Bulk.

E (eV per cell): -129.8
Energy relative to the elements (eV per atom): -0.812
Crystal system: trigonal

CIF file:
```
data_YMg2ScPd4
_cell_length_a 4.6609
_cell_length_b 4.6609
_cell_length_c 23.3567
_cell_angle_alpha 90.00
_cell_angle_beta 90.00
_cell_angle_gamma 120.00
_symmetry_space_group_name_H-M 'R -3 m'
_symmetry_Int_Tables_number 166
_symmetry_space_group_name_Hall '-R 3 2"'
loop_
_atom_site_label
_atom_site_fract_x
_atom_site_fract_y
_atom_site_fract_z
Y1 0.0000 0.0000 0.0000
Mg1 0.0000 0.0000 0.2473
Sc1 0.0000 0.0000 0.5000
Pd1 0.0000 0.0000 0.1273
Pd2 0.0000 0.0000 0.3821
```

=====

Entry 3:
First-principles (PBE-GGA) data for an optimized crystal structure of Be2AsPtC, as listed in Alexandria via LeMat-Bulk.

E (eV per cell): -18.7
Energy relative to the elements (eV per atom): 1.724
Crystal system: tetragonal

CIF file:
```
data_Be2AsPtC
_cell_length_a 4.049
_cell_length_b 4.049
_cell_length_c 4.839
_cell_angle_alpha 90.00
_cell_angle_beta 90.00
_cell_angle_gamma 90.00
_symmetry_space_group_name_H-M 'P 4/m m m'
_symmetry_Int_Tables_number 123
_symmetry_space_group_name_Hall '-P 4 2'
loop_
_atom_site_label
_atom_site_fract_x
_atom_site_fract_y
_atom_site_fract_z
Be1 0.000 0.500 0.000
As1 0.000 0.000 0.000
Pt1 0.000 0.000 0.500
C1 0.500 0.500 0.500
```

=====

Entry 4:
First-principles (PBE-GGA) data for an optimized crystal structure of KIn6Ga2, as listed in Alexandria via LeMat-Bulk.

E (eV per cell): -23.8
Energy relative to the elements (eV per atom): -0.029
Crystal system: tetragonal

CIF file:
```
data_KIn6Ga2
_cell_length_a 4.776
_cell_length_b 4.776
_cell_length_c 10.723
_cell_angle_alpha 90.00
_cell_angle_beta 90.00
_cell_angle_gamma 90.00
_symmetry_space_group_name_H-M 'P 4/m m m'
_symmetry_Int_Tables_number 123
_symmetry_space_group_name_Hall '-P 4 2'
loop_
_atom_site_label
_atom_site_fract_x
_atom_site_fract_y
_atom_site_fract_z
K1 0.000 0.000 0.000
In1 0.000 0.000 0.500
In2 0.000 0.500 0.280
In3 0.500 0.500 0.500
Ga1 0.500 0.500 0.122
```

=====

Entry 5:
First-principles (PBE-GGA) data for an optimized crystal structure of LiTlI2, as listed in Alexandria via LeMat-Bulk.

Formation energy (no corrections) (eV/atom): -0.718
E (eV per cell): -10.3
ΔE to the lowest computed polymorph (meV per atom): 205
Crystal system: tetragonal

CIF file:
```
data_LiTlI2
_cell_length_a 5.815
_cell_length_b 5.815
_cell_length_c 4.118
_cell_angle_alpha 90.00
_cell_angle_beta 90.00
_cell_angle_gamma 90.00
_symmetry_space_group_name_H-M 'P 4/m m m'
_symmetry_Int_Tables_number 123
_symmetry_space_group_name_Hall '-P 4 2'
loop_
_atom_site_label
_atom_site_fract_x
_atom_site_fract_y
_atom_site_fract_z
Li1 0.000 0.000 0.000
Tl1 0.500 0.500 0.000
I1 0.000 0.500 0.500
```

=====

Q: Number 4 is which compound?
A: KIn6Ga2